Entry 1:
VASP calculation (PBE) on a relaxed TbErPuSc crystal.

Computed properties:
- magnetization (μB per atom) = 1.52
- Fermi-level density of states (states/eV/atom) = 2.27
- energy relative to the elements (eV per atom) = 0.18
- total DFT energy (no corrections) (eV/atom) = -7.29

```
TbErPuSc
1.0
0.000 3.852 3.852
3.852 0.000 3.852
3.852 3.852 0.000
Tb Er Pu Sc
1 1 1 1
direct
0.000 0.000 0.000
0.750 0.750 0.750
0.500 0.500 0.500
0.250 0.250 0.250
```

Entry 2:
VASP calculation (PBE) on a relaxed AlTlRu crystal.

Computed properties:
- magnetization (μB per atom) = 0.00
- Fermi-level density of states (states/eV/atom) = 0.42
- energy relative to the elements (eV per atom) = 0.24
- total DFT energy (no corrections) (eV/atom) = -4.89

```
AlTlRu
1.0
0.000 3.111 3.111
3.111 0.000 3.111
3.111 3.111 0.000
Al Tl Ru
1 1 1
direct
0.000 0.000 0.000
0.500 0.500 0.500
0.250 0.250 0.250
```

Entry 3:
VASP calculation (PBE) on a relaxed Zn2PCl crystal.

Computed properties:
- magnetization (μB per atom) = 0.00
- Fermi-level density of states (states/eV/atom) = 0.17
- formation energy without anion corrections (eV per atom) = 0.21
- total DFT energy (no corrections) (eV/atom) = -2.24

```
Zn2PCl
1.0
0.000 3.259 3.259
3.259 0.000 3.259
3.259 3.259 0.000
Zn P Cl
2 1 1
direct
0.250 0.250 0.250
0.750 0.750 0.750
0.000 0.000 0.000
0.500 0.500 0.500
```

Entry 4:
VASP calculation (PBE) on a relaxed CoPt3Rh crystal.

Computed properties:
- magnetization (μB per atom) = 0.75
- Fermi-level density of states (states/eV/atom) = 1.69
- energy relative to the elements (eV per atom) = 0.07
- total DFT energy (no corrections) (eV/atom) = -6.44

```
CoPt3Rh
1.0
2.260 -6.047 0.000
2.260 6.047 0.000
0.000 0.000 5.480
Co Pt Rh
2 6 2
direct
0.001 0.999 0.750
0.999 0.001 0.250
0.183 0.817 0.000
0.183 0.817 0.500
0.392 0.608 0.750
0.608 0.392 0.250
0.817 0.183 0.000
0.817 0.183 0.500
0.389 0.611 0.250
0.611 0.389 0.750
```

Entry 5:
VASP calculation (PBE) on a relaxed MnCl5 crystal.

Computed properties:
- magnetization (μB per atom) = 0.66
- Fermi-level density of states (states/eV/atom) = 0.68
- formation energy without anion corrections (eV per atom) = -0.57
- total DFT energy (no corrections) (eV/atom) = -3.64

```
MnCl5
1.0
3.543 0.000 0.000
0.000 4.767 0.000
-0.849 0.000 10.617
Mn Cl
1 5
direct
0.000 0.000 0.000
0.000 0.500 0.000
0.110 0.500 0.588
0.463 0.000 0.848
0.537 0.000 0.152
0.892 0.500 0.410
```

Entry 6:
VASP calculation (PBE) on a relaxed Ti3PIr crystal.

Computed properties:
- magnetization (μB per atom) = 0.00
- Fermi-level density of states (states/eV/atom) = 0.75
- energy relative to the elements (eV per atom) = 0.31
- total DFT energy (no corrections) (eV/atom) = -7.28

```
Ti3PIr
1.0
4.716 0.000 0.000
0.000 4.716 0.000
0.000 0.000 4.716
Ti P Ir
3 1 1
direct
0.000 0.000 0.500
0.000 0.500 0.000
0.500 0.000 0.000
0.500 0.500 0.500
0.000 0.000 0.000
```